First-principles (PBE-GGA) data for an optimized crystal structure of SmSc2In3Te6, as listed in Alexandria via LeMat-Bulk.

Unit cell a=7.4734 b=7.4734 c=8.4085 alpha=98.53 beta=98.53 gamma=119.89
With the nearest neighbours (Å) after each atom.
Fractional coordinates of all 12 atoms:
Te  0.2804  0.2804  0.7899  2 Sc 2.97, 1 Sm 3.12, 1 In 3.32
Te  0.9278  0.5782  0.7838  2 Sc 2.98-2.99, 1 Sm 3.14, 1 In 3.34
Sc  0.3324  0.6676  0.0000  6 Te 2.97-2.99
Sc  0.6676  0.3324  0.0000  6 Te 2.97-2.99
In  0.5000  0.5000  0.5000  6 Te 3.32-3.42
Te  0.0722  0.4218  0.2162  2 Sc 2.98-2.99, 1 Sm 3.14, 1 In 3.34
Te  0.7196  0.7196  0.2101  2 Sc 2.97, 1 Sm 3.12, 1 In 3.32
Sm  0.0000  0.0000  0.0000  6 Te 3.12-3.14
In  0.1603  0.8397  0.5000  6 Te 3.34-3.43
Te  0.4218  0.0722  0.2162  2 Sc 2.98-2.99, 1 Sm 3.14, 1 In 3.34
In  0.8397  0.1603  0.5000  6 Te 3.34-3.43
Te  0.5782  0.9278  0.7838  2 Sc 2.98-2.99, 1 Sm 3.14, 1 In 3.34

Summary:
Space group = C2/m
Raw formation energy = -10.67 eV/f.u.

---

First-principles (PBE-GGA) data for an optimized crystal structure of HfCuRh3, as listed in Alexandria via LeMat-Bulk.

Unit cell a=4.7415 b=4.7415 c=4.7415 alpha=90.00 beta=90.00 gamma=90.00
With the nearest neighbours (Å) after each atom.
Fractional coordinates of all 5 atoms:
Rh  0.5000  0.0000  0.0000  2 Hf 2.37
Rh  0.0000  0.0000  0.5000  2 Hf 2.37
Rh  0.0000  0.5000  0.0000  2 Hf 2.37
Cu  0.5000  0.5000  0.5000  12 Rh 3.35
Hf  0.0000  0.0000  0.0000  6 Rh 2.37

Summary:
ΔE to the lowest computed polymorph = 1.113 eV/atom
Space group = Pm-3m

---

First-principles (PBE-GGA) data for an optimized crystal structure of PuGaCuSn, as listed in Alexandria via LeMat-Bulk.

Unit cell a=4.8566 b=4.8566 c=4.8566 alpha=60.00 beta=60.00 gamma=60.00
With the nearest neighbours (Å) after each atom.
Fractional coordinates of all 4 atoms:
Sn  0.2500  0.2500  0.2500  4 Cu 2.97, 4 Ga 2.97
Cu  0.0000  0.0000  0.0000  4 Pu 2.97, 4 Sn 2.97
Ga  0.5000  0.5000  0.5000  4 Sn 2.97, 4 Pu 2.97
Pu  0.7500  0.7500  0.7500  4 Ga 2.97, 4 Cu 2.97

Summary:
DFT total energy = -26.1 eV/cell
Space group = F-43m

---

First-principles (PBE-GGA) data for an optimized crystal structure of Pa2TiHg, as listed in Alexandria via LeMat-Bulk.

Unit cell a=4.8951 b=4.2606 c=4.2606 alpha=90.00 beta=90.00 gamma=90.00
With the nearest neighbours (Å) after each atom.
Fractional coordinates of all 4 atoms:
Pa  0.0000  0.5000  0.0000  4 Pa 3.01, 4 Ti 3.24, 4 Hg 3.24
Pa  0.0000  0.0000  0.5000  4 Pa 3.01, 4 Hg 3.24, 4 Ti 3.24
Ti  0.5000  0.5000  0.5000  4 Hg 3.01, 8 Pa 3.24
Hg  0.5000  0.0000  0.0000  4 Ti 3.01, 8 Pa 3.24

Summary:
DFT total energy = -26.8 eV/cell
Space group = P4/mmm

---

First-principles (PBE-GGA) data for an optimized crystal structure of Te6PtAu2, as listed in Alexandria via LeMat-Bulk.

Unit cell a=7.6881 b=8.7452 c=8.7452 alpha=69.14 beta=76.23 gamma=76.23
With the nearest neighbours (Å) after each atom.
Fractional coordinates of all 18 atoms:
Te  0.0250  0.5220  0.6453  1 Au 2.72, 1 Te 2.83
Te  0.3397  0.3543  0.9597  1 Pt 2.76, 2 Au 2.80-2.85
Te  0.6603  0.6457  0.0403  1 Pt 2.76, 2 Au 2.80-2.85
Au  0.7491  0.3061  0.2302  4 Te 2.72-2.85
Te  0.4750  0.3547  0.4780  1 Au 2.72, 1 Te 2.83
Te  0.6117  0.0433  0.7914  2 Pt 2.71-2.80, 1 Au 2.72
Te  0.9750  0.4780  0.3547  1 Au 2.72, 1 Te 2.83
Au  0.2491  0.2302  0.3061  4 Te 2.72-2.85
Au  0.7509  0.7698  0.6939  4 Te 2.72-2.85
Te  0.5250  0.6453  0.5220  1 Au 2.72, 1 Te 2.83
Te  0.1117  0.7914  0.0433  2 Pt 2.71-2.80, 1 Au 2.72
Te  0.8397  0.9597  0.3543  1 Pt 2.76, 2 Au 2.80-2.85
Pt  0.7500  0.9103  0.0897  6 Te 2.71-2.80
Te  0.3883  0.9567  0.2086  2 Pt 2.71-2.80, 1 Au 2.72
Pt  0.2500  0.0897  0.9103  6 Te 2.71-2.80
Te  0.1603  0.0403  0.6457  1 Pt 2.76, 2 Au 2.80-2.85
Au  0.2509  0.6939  0.7698  4 Te 2.72-2.85
Te  0.8883  0.2086  0.9567  2 Pt 2.71-2.80, 1 Au 2.72

Summary:
Space group = C2/c
Raw formation energy = -0.19 eV/f.u.

---

First-principles (PBE-GGA) data for an optimized crystal structure of Li2ScGeBr, as listed in Alexandria via LeMat-Bulk.

Unit cell a=4.8366 b=4.8366 c=5.2214 alpha=90.00 beta=90.00 gamma=90.00
With the nearest neighbours (Å) after each atom.
Fractional coordinates of all 5 atoms:
Br  0.5000  0.5000  0.5000  4 Sc 3.42, 8 Li 3.56
Li  0.0000  0.5000  0.0000  2 Ge 2.42
Sc  0.0000  0.0000  0.5000  2 Ge 2.61
Ge  0.0000  0.0000  0.0000  4 Li 2.42, 2 Sc 2.61
Li  0.5000  0.0000  0.0000  2 Ge 2.42

Summary:
Space group = P4/mmm
Raw formation energy = -2.02 eV/f.u.

---

First-principles (PBE-GGA) data for an optimized crystal structure of Cd3OsC, as listed in Alexandria via LeMat-Bulk.

Unit cell a=4.4973 b=4.4973 c=4.4973 alpha=90.00 beta=90.00 gamma=90.00
With the nearest neighbours (Å) after each atom.
Fractional coordinates of all 5 atoms:
Cd  0.0000  0.0000  0.5000  2 C 2.25
C  0.0000  0.0000  0.0000  6 Cd 2.25
Cd  0.5000  0.0000  0.0000  2 C 2.25
Cd  0.0000  0.5000  0.0000  2 C 2.25
Os  0.5000  0.5000  0.5000  12 Cd 3.18

Summary:
ΔE to the lowest computed polymorph = 0.000 eV/atom
Space group = Pm-3m

---

First-principles (PBE-GGA) data for an optimized crystal structure of Si2Se, as listed in Alexandria via LeMat-Bulk.

Unit cell a=5.7596 b=5.7596 c=7.2567 alpha=92.37 beta=92.37 gamma=33.98
With the nearest neighbours (Å) after each atom.
Fractional coordinates of all 6 atoms:
Si  0.7686  0.7686  0.6275  1 Se 2.45, 4 Si 2.52-2.53
Si  0.2314  0.2314  0.3725  1 Se 2.45, 4 Si 2.52-2.53
Si  0.7818  0.7818  0.1261  2 Se 2.51, 4 Si 2.53-2.56
Se  0.5658  0.5658  0.7531  3 Si 2.45-2.51
Si  0.2182  0.2182  0.8739  2 Se 2.51, 4 Si 2.53-2.56
Se  0.4342  0.4342  0.2469  3 Si 2.45-2.51

Summary:
ΔE to the lowest computed polymorph = 0.407 eV/atom
Space group = C2/m
Raw formation energy = 0.71 eV/f.u.